P.
Tb5Pm4Th2: optimized geometry, PBE. Values from VASP.

Values from the calculation:
crystal system = orthorhombic
size of the total moment = 0.0 μB per cell
DOS(E_F) = 1.568 states/eV/atom

Cell and atoms, written as Quantum ESPRESSO input:
```
&SYSTEM
  ibrav = 0, nat = 11, ntyp = 3
/
ATOMIC_SPECIES
Tb 158.93 Tb.upf
Pm 145.00 Pm.upf
Th 232.04 Th.upf
ATOMIC_POSITIONS angstrom
Tb 1.7128 -1.6456 8.5395
Tb 1.7128 1.6456 8.5395
Tb 0.0000 2.9854 3.8787
Tb 0.0000 6.2767 3.8787
Tb 1.7128 0.0000 0.0000
Pm 0.0000 2.9538 0.0000
Pm 1.7128 4.6310 6.4925
Pm 0.0000 6.3082 0.0000
Pm 0.0000 0.0000 5.9257
Th 1.7128 4.6310 9.7504
Th 0.0000 0.0000 2.6678
CELL_PARAMETERS angstrom
3.4256 0.0000 0.0000
0.0000 9.2620 0.0000
-1.7128 -4.6310 12.4182
```

Q.
Tb5Pm4Th2: optimized geometry, PBE. Values from VASP.

Values from the calculation:
crystal system = triclinic
size of the total moment = 0.0 μB per cell
DOS(E_F) = 1.340 states/eV/atom

Cell and atoms, written as Quantum ESPRESSO input:
```
&SYSTEM
  ibrav = 0, nat = 11, ntyp = 3
/
ATOMIC_SPECIES
Tb 158.93 Tb.upf
Pm 145.00 Pm.upf
Th 232.04 Th.upf
ATOMIC_POSITIONS angstrom
Tb 7.1794 1.7821 7.2548
Tb 4.7614 0.1725 5.0385
Tb 11.3022 0.3011 9.7615
Tb -1.7580 0.1094 0.3754
Tb 0.6386 1.6535 2.5319
Pm 6.5520 3.1030 3.8973
Pm 2.9659 -2.7437 6.1415
Pm 5.3888 -1.1485 8.3961
Pm 8.9749 4.6983 6.1518
Th 13.0809 3.1568 8.5901
Th -1.1400 -1.2022 3.7033
CELL_PARAMETERS angstrom
-3.5159 0.2187 0.7508
2.9527 -5.7394 6.9953
12.5041 7.4752 4.5472
```

Stability verdict: Q, ahead by 450 meV per atom

P.
TbPmTmTh: optimized geometry, PBE. Values from VASP.

Values from the calculation:
crystal system = trigonal
size of the total moment = 0.0 μB per cell
DOS(E_F) = 1.502 states/eV/atom

Cell and atoms, written as Quantum ESPRESSO input:
```
&SYSTEM
  ibrav = 0, nat = 4, ntyp = 4
/
ATOMIC_SPECIES
Tb 158.93 Tb.upf
Pm 145.00 Pm.upf
Tm 168.93 Tm.upf
Th 232.04 Th.upf
ATOMIC_POSITIONS angstrom
Tb 0.3414 -0.2337 7.1858
Pm 2.1346 0.8061 4.2113
Tm -1.4545 2.8827 1.2792
Th -1.4544 0.8000 9.9982
CELL_PARAMETERS angstrom
3.5910 0.0000 -0.0016
-1.7947 3.1096 0.0026
-1.7930 -1.0459 11.5107
```

Q.
TbPmTmTh: optimized geometry, PBE. Values from VASP.

Values from the calculation:
crystal system = cubic
size of the total moment = 0.0 μB per cell
DOS(E_F) = 2.076 states/eV/atom

Cell and atoms, written as Quantum ESPRESSO input:
```
&SYSTEM
  ibrav = 0, nat = 4, ntyp = 4
/
ATOMIC_SPECIES
Tm 168.93 Tm.upf
Tb 158.93 Tb.upf
Th 232.04 Th.upf
Pm 145.00 Pm.upf
ATOMIC_POSITIONS angstrom
Tm -2.2789 -1.6924 2.0135
Tb 0.0000 0.0000 0.0000
Th -4.5579 -3.3848 4.0270
Pm -6.8368 -5.0773 6.0406
CELL_PARAMETERS angstrom
-5.1045 -2.4944 0.1466
-0.8176 -4.6121 3.2185
-3.1937 0.3368 4.6889
```

Stability verdict: P, ahead by 159 meV per atom

P.
TbPmYTh: optimized geometry, PBE. Values from VASP.

Values from the calculation:
crystal system = cubic
size of the total moment = 0.0 μB per cell
DOS(E_F) = 2.429 states/eV/atom

Cell and atoms, written as Quantum ESPRESSO input:
```
&SYSTEM
  ibrav = 0, nat = 4, ntyp = 4
/
ATOMIC_SPECIES
Y 88.91 Y.upf
Tb 158.93 Tb.upf
Th 232.04 Th.upf
Pm 145.00 Pm.upf
ATOMIC_POSITIONS angstrom
Y 0.0000 0.0000 0.0000
Tb 8.5711 4.9485 3.4991
Th 5.7141 3.2990 2.3328
Pm 2.8570 1.6495 1.1664
CELL_PARAMETERS angstrom
5.7141 0.0000 0.0000
2.8570 4.9485 0.0000
2.8570 1.6495 4.6655
```

Q.
TbPmYTh: optimized geometry, PBE. Values from VASP.

Values from the calculation:
crystal system = tetragonal
size of the total moment = 0.0 μB per cell
DOS(E_F) = 1.220 states/eV/atom

Cell and atoms, written as Quantum ESPRESSO input:
```
&SYSTEM
  ibrav = 0, nat = 4, ntyp = 4
/
ATOMIC_SPECIES
Tb 158.93 Tb.upf
Pm 145.00 Pm.upf
Y 88.91 Y.upf
Th 232.04 Th.upf
ATOMIC_POSITIONS angstrom
Tb 1.7944 1.7944 3.3550
Pm 0.0000 0.0000 0.7310
Y 1.7944 1.7944 8.2657
Th 0.0000 0.0000 5.8011
CELL_PARAMETERS angstrom
3.5889 0.0000 0.0000
0.0000 3.5889 0.0000
0.0000 0.0000 10.1714
```

Stability verdict: Q, ahead by 166 meV per atom

P.
Tb2PmTl: optimized geometry, PBE. Values from VASP.

Values from the calculation:
crystal system = tetragonal
size of the total moment = 0.0 μB per cell
DOS(E_F) = 1.136 states/eV/atom

Cell and atoms, written as Quantum ESPRESSO input:
```
&SYSTEM
  ibrav = 0, nat = 4, ntyp = 3
/
ATOMIC_SPECIES
Tl 204.38 Tl.upf
Tb 158.93 Tb.upf
Pm 145.00 Pm.upf
ATOMIC_POSITIONS angstrom
Tl 1.8255 1.8255 0.0000
Tb 0.0000 0.0000 7.1404
Tb 0.0000 0.0000 2.0727
Pm 1.8255 1.8255 4.6065
CELL_PARAMETERS angstrom
3.6510 0.0000 0.0000
0.0000 3.6510 0.0000
0.0000 0.0000 9.2131
```

Q.
Tb2PmTl: optimized geometry, PBE. Values from VASP.

Values from the calculation:
crystal system = cubic
size of the total moment = 1.5 μB per cell
DOS(E_F) = 1.373 states/eV/atom

Cell and atoms, written as Quantum ESPRESSO input:
```
&SYSTEM
  ibrav = 0, nat = 4, ntyp = 3
/
ATOMIC_SPECIES
Tl 204.38 Tl.upf
Tb 158.93 Tb.upf
Pm 145.00 Pm.upf
ATOMIC_POSITIONS angstrom
Tl 5.5133 3.1831 2.2508
Tb 2.7567 1.5916 1.1254
Tb 8.2700 4.7747 3.3762
Pm 0.0000 0.0000 0.0000
CELL_PARAMETERS angstrom
5.5133 0.0000 0.0000
2.7567 4.7747 0.0000
2.7567 1.5916 4.5016
```

R.
Tb2PmTl: optimized geometry, PBE. Values from VASP.

Values from the calculation:
crystal system = tetragonal
size of the total moment = 0.7 μB per cell
DOS(E_F) = 1.404 states/eV/atom

Cell and atoms, written as Quantum ESPRESSO input:
```
&SYSTEM
  ibrav = 0, nat = 4, ntyp = 3
/
ATOMIC_SPECIES
Tl 204.38 Tl.upf
Tb 158.93 Tb.upf
Pm 145.00 Pm.upf
ATOMIC_POSITIONS angstrom
Tl -1.5565 -0.0040 1.8714
Tb 1.5500 1.4068 1.2922
Tb 1.0837 -2.0180 0.8971
Pm 1.0772 -0.6152 4.0607
CELL_PARAMETERS angstrom
-3.1130 -0.0079 3.7428
2.1674 -4.0360 1.7941
3.1000 2.8136 2.5844
```

S.
Tb2PmTl: optimized geometry, PBE. Values from VASP.

Values from the calculation:
crystal system = trigonal
size of the total moment = 0.0 μB per cell
DOS(E_F) = 1.375 states/eV/atom

Cell and atoms, written as Quantum ESPRESSO input:
```
&SYSTEM
  ibrav = 0, nat = 4, ntyp = 3
/
ATOMIC_SPECIES
Tb 158.93 Tb.upf
Pm 145.00 Pm.upf
Tl 204.38 Tl.upf
ATOMIC_POSITIONS angstrom
Tb 1.8394 1.0620 8.3082
Tb 1.8394 1.0620 2.4822
Pm 3.6789 2.1240 5.4015
Tl 3.6789 2.1240 0.0025
CELL_PARAMETERS angstrom
3.6789 0.0000 0.0000
1.8394 3.1860 0.0000
1.8394 1.0620 10.7962
```

Stability verdict: R, ahead by 19 meV per atom

P.
TbPmTl: optimized geometry, PBE. Values from VASP.

Values from the calculation:
crystal system = tetragonal
size of the total moment = 0.0 μB per cell
DOS(E_F) = 1.230 states/eV/atom

Cell and atoms, written as Quantum ESPRESSO input:
```
&SYSTEM
  ibrav = 0, nat = 3, ntyp = 3
/
ATOMIC_SPECIES
Tl 204.38 Tl.upf
Tb 158.93 Tb.upf
Pm 145.00 Pm.upf
ATOMIC_POSITIONS angstrom
Tl 1.8289 1.8289 1.6457
Tb 0.0000 0.0000 3.7149
Pm 1.8289 1.8289 6.3027
CELL_PARAMETERS angstrom
3.6578 0.0000 0.0000
0.0000 3.6578 0.0000
-1.8289 -1.8289 6.8608
```

Q.
TbPmTl: optimized geometry, PBE. Values from VASP.

Values from the calculation:
crystal system = hexagonal
size of the total moment = 1.4 μB per cell
DOS(E_F) = 1.402 states/eV/atom

Cell and atoms, written as Quantum ESPRESSO input:
```
&SYSTEM
  ibrav = 0, nat = 6, ntyp = 3
/
ATOMIC_SPECIES
Tb 158.93 Tb.upf
Pm 145.00 Pm.upf
Tl 204.38 Tl.upf
ATOMIC_POSITIONS angstrom
Tb 2.4589 -1.1747 0.3526
Tb 0.9330 -4.0788 1.3193
Pm -2.3067 -4.8487 -0.0575
Pm 1.6579 -3.6110 -2.1811
Tl 0.1331 -6.5155 -1.2135
Tl -0.7820 -1.9442 -1.0252
CELL_PARAMETERS angstrom
-2.5148 -0.3021 -4.8772
4.9179 -2.3494 0.7051
-3.0519 -5.8083 1.9334
```

R.
TbPmTl: optimized geometry, PBE. Values from VASP.

Values from the calculation:
crystal system = trigonal
size of the total moment = 0.0 μB per cell
DOS(E_F) = 0.620 states/eV/atom

Cell and atoms, written as Quantum ESPRESSO input:
```
&SYSTEM
  ibrav = 0, nat = 3, ntyp = 3
/
ATOMIC_SPECIES
Tl 204.38 Tl.upf
Tb 158.93 Tb.upf
Pm 145.00 Pm.upf
ATOMIC_POSITIONS angstrom
Tl 1.6546 -3.3439 -1.8024
Tb -0.8948 -1.7847 -2.7105
Pm -0.6672 -3.2214 0.6573
CELL_PARAMETERS angstrom
-0.9976 -1.9897 -3.0220
5.0962 -1.2331 -0.8704
-3.0083 -3.1374 3.0588
```

S.
TbPmTl: optimized geometry, PBE. Values from VASP.

Values from the calculation:
crystal system = hexagonal
size of the total moment = 0.0 μB per cell
DOS(E_F) = 1.218 states/eV/atom

Cell and atoms, written as Quantum ESPRESSO input:
```
&SYSTEM
  ibrav = 0, nat = 6, ntyp = 3
/
ATOMIC_SPECIES
Tb 158.93 Tb.upf
Pm 145.00 Pm.upf
Tl 204.38 Tl.upf
ATOMIC_POSITIONS angstrom
Tb 1.3754 3.9704 5.0791
Tb 1.3759 0.7937 1.6930
Pm -1.3741 2.3818 0.0000
Pm -1.3741 2.3818 3.3861
Tl 1.3740 0.7947 5.0791
Tl 1.3772 3.9693 1.6930
CELL_PARAMETERS angstrom
5.4995 0.0005 0.0000
-2.7483 4.7636 0.0000
0.0000 0.0000 6.7721
```

Stability verdict: S, ahead by 5 meV per atom

P.
Tb2Pm4Tl: optimized geometry, PBE. Values from VASP.

Values from the calculation:
crystal system = monoclinic
size of the total moment = 0.0 μB per cell
DOS(E_F) = 1.406 states/eV/atom

Cell and atoms, written as Quantum ESPRESSO input:
```
&SYSTEM
  ibrav = 0, nat = 14, ntyp = 3
/
ATOMIC_SPECIES
Tb 158.93 Tb.upf
Pm 145.00 Pm.upf
Tl 204.38 Tl.upf
ATOMIC_POSITIONS angstrom
Tb 4.0928 -3.8268 2.2850
Tb 4.4819 6.8678 7.8919
Tb 2.8101 2.5145 3.7093
Tb 5.7645 0.5265 6.4676
Pm 3.2850 -0.9394 4.2417
Pm 6.5213 2.4646 9.2356
Pm 2.0533 0.5765 0.9413
Pm 0.2121 0.1997 4.2843
Pm 2.4977 1.5521 6.9089
Pm 8.3625 2.8413 5.8927
Pm 5.2896 3.9804 5.9353
Pm 6.0769 1.4889 3.2680
Tl 5.1682 -0.8904 1.3409
Tl 3.4064 3.9314 8.8360
CELL_PARAMETERS angstrom
-1.4279 -3.9991 3.9319
6.4225 -2.3808 -0.0890
3.5801 9.4209 6.3341
```

Q.
Tb2Pm4Tl: optimized geometry, PBE. Values from VASP.

Values from the calculation:
crystal system = triclinic
size of the total moment = 0.0 μB per cell
DOS(E_F) = 1.068 states/eV/atom

Cell and atoms, written as Quantum ESPRESSO input:
```
&SYSTEM
  ibrav = 0, nat = 14, ntyp = 3
/
ATOMIC_SPECIES
Tb 158.93 Tb.upf
Pm 145.00 Pm.upf
Tl 204.38 Tl.upf
ATOMIC_POSITIONS angstrom
Tb -1.9741 -4.3967 3.6862
Tb -7.4589 -2.4593 0.6936
Tb -9.2404 -1.5907 4.4592
Tb -1.1253 -2.2484 -0.0761
Pm -6.8968 -2.2216 7.2045
Pm -10.8503 -2.9903 1.5254
Pm -2.8244 -3.8175 -2.8652
Pm -4.1129 -2.7083 1.7479
Pm -7.8280 -3.5297 -2.7532
Pm 1.0689 -2.9191 2.7338
Pm -2.1885 -5.4346 0.1842
Pm -6.6446 -3.6434 4.0151
Tl -4.0947 -1.6023 5.0127
Tl 1.3181 -4.7092 -0.2869
CELL_PARAMETERS angstrom
-1.3611 -3.3886 -5.6140
3.1092 -2.6954 5.2852
-11.3801 -0.2323 4.6627
```

Stability verdict: Q, ahead by 48 meV per atom